# 1
Material: TcPt2Rh5
Method: DFT, PBE-GGA
State: optimized geometry

The structure in CIF format:
```
data_TcPt2Rh5
_chemical_formula_sum 'Tc1 Pt2 Rh5'
_space_group_name_H-M_alt 'P 1'
_space_group_IT_number 1
_cell_length_a 8.256
_cell_length_b 8.256
_cell_length_c 8.256
_cell_angle_alpha 152.93
_cell_angle_beta 152.93
_cell_angle_gamma 38.66
loop_
_space_group_symop_operation_xyz
'x,y,z'
loop_
_atom_site_label
_atom_site_type_symbol
_atom_site_fract_x
_atom_site_fract_y
_atom_site_fract_z
_atom_site_occupancy
Tc1 Tc 0.000 0.000 0.000 1
Pt1 Pt 0.253 0.253 0.000 1
Pt2 Pt 0.747 0.747 0.000 1
Rh1 Rh 0.119 0.619 0.500 1
Rh2 Rh 0.381 0.881 0.500 1
Rh3 Rh 0.500 0.500 0.000 1
Rh4 Rh 0.619 0.119 0.500 1
Rh5 Rh 0.881 0.381 0.500 1
```

Summary:
N(E_F) = 7.009 states/eV/f.u.
theoretical density = 14.31 g/cm3
excess energy over the best structure of this formula in the dataset = 0.000 eV per formula unit
spin magnetization = 0.00 μB/cell
symmetry = I4/mmm

# 2
Material: CaZn3Bi
Method: DFT, PBE-GGA
State: optimized geometry

The structure in CIF format:
```
data_CaZn3Bi
_chemical_formula_sum 'Ca1 Zn3 Bi1'
_space_group_name_H-M_alt 'P 1'
_space_group_IT_number 1
_cell_length_a 5.411
_cell_length_b 5.411
_cell_length_c 5.411
_cell_angle_alpha 90.00
_cell_angle_beta 90.00
_cell_angle_gamma 90.00
loop_
_space_group_symop_operation_xyz
'x,y,z'
loop_
_atom_site_label
_atom_site_type_symbol
_atom_site_fract_x
_atom_site_fract_y
_atom_site_fract_z
_atom_site_occupancy
Ca1 Ca 0.000 0.000 0.000 1
Zn1 Zn 0.000 0.000 0.500 1
Zn2 Zn 0.000 0.500 0.000 1
Zn3 Zn 0.500 0.000 0.000 1
Bi1 Bi 0.500 0.500 0.500 1
```

Summary:
N(E_F) = 4.000 states/eV/f.u.
theoretical density = 4.67 g/cm3
excess energy over the best structure of this formula in the dataset = 1.681 eV per formula unit
spin magnetization = 0.00 μB/cell
symmetry = Pm-3m

# 3
Material: Ce2InAgSe5
Method: DFT, PBE-GGA
State: optimized geometry

The structure in CIF format:
```
data_Ce2InAgSe5
_chemical_formula_sum 'Ce4 In2 Ag2 Se10'
_space_group_name_H-M_alt 'P 1'
_space_group_IT_number 1
_cell_length_a 10.370
_cell_length_b 10.370
_cell_length_c 14.561
_cell_angle_alpha 90.00
_cell_angle_beta 90.00
_cell_angle_gamma 157.58
loop_
_space_group_symop_operation_xyz
'x,y,z'
loop_
_atom_site_label
_atom_site_type_symbol
_atom_site_fract_x
_atom_site_fract_y
_atom_site_fract_z
_atom_site_occupancy
Ce1 Ce 0.005 0.995 0.500 1
Ce2 Ce 0.083 0.917 0.754 1
Ce3 Ce 0.917 0.083 0.254 1
Ce4 Ce 0.995 0.005 0.000 1
In1 In 0.355 0.645 0.597 1
In2 In 0.645 0.355 0.097 1
Ag1 Ag 0.245 0.755 0.699 1
Ag2 Ag 0.755 0.245 0.199 1
Se1 Se 0.055 0.945 0.172 1
Se2 Se 0.129 0.871 0.957 1
Se3 Se 0.316 0.684 0.280 1
Se4 Se 0.418 0.582 0.094 1
Se5 Se 0.500 0.500 0.354 1
Se6 Se 0.500 0.500 0.854 1
Se7 Se 0.582 0.418 0.594 1
Se8 Se 0.684 0.316 0.780 1
Se9 Se 0.871 0.129 0.457 1
Se10 Se 0.945 0.055 0.672 1
```

Summary:
N(E_F) = 2.708 states/eV/f.u.
theoretical density = 4.99 g/cm3
spin magnetization = 0.50 μB/cell
symmetry = Cmc2_1
formation energy (no corrections) = -1.03 eV/atom

# 4
Material: Tb3TaS6
Method: DFT, PBE-GGA
State: optimized geometry

The structure in CIF format:
```
data_Tb3TaS6
_chemical_formula_sum 'Tb6 Ta2 S12'
_space_group_name_H-M_alt 'P 1'
_space_group_IT_number 1
_cell_length_a 8.527
_cell_length_b 8.527
_cell_length_c 6.522
_cell_angle_alpha 90.00
_cell_angle_beta 90.00
_cell_angle_gamma 101.31
loop_
_space_group_symop_operation_xyz
'x,y,z'
loop_
_atom_site_label
_atom_site_type_symbol
_atom_site_fract_x
_atom_site_fract_y
_atom_site_fract_z
_atom_site_occupancy
Tb1 Tb 0.095 0.905 0.500 1
Tb2 Tb 0.231 0.413 0.412 1
Tb3 Tb 0.413 0.231 0.912 1
Tb4 Tb 0.587 0.769 0.412 1
Tb5 Tb 0.769 0.587 0.912 1
Tb6 Tb 0.905 0.095 0.000 1
Ta1 Ta 0.312 0.688 0.867 1
Ta2 Ta 0.688 0.312 0.367 1
S1 S 0.072 0.600 0.697 1
S2 S 0.129 0.193 0.705 1
S3 S 0.193 0.129 0.205 1
S4 S 0.278 0.722 0.219 1
S5 S 0.400 0.928 0.697 1
S6 S 0.476 0.524 0.709 1
S7 S 0.524 0.476 0.209 1
S8 S 0.600 0.072 0.197 1
S9 S 0.722 0.278 0.719 1
S10 S 0.807 0.871 0.705 1
S11 S 0.871 0.807 0.205 1
S12 S 0.928 0.400 0.197 1
```

Summary:
N(E_F) = 6.106 states/eV/f.u.
theoretical density = 6.07 g/cm3
spin magnetization = 0.00 μB/cell
symmetry = Cmc2_1
formation energy (no corrections) = -1.62 eV/atom

# 5
Material: LiCd2Bi2
Method: DFT, PBE-GGA
State: optimized geometry

The structure in CIF format:
```
data_LiCd2Bi2
_chemical_formula_sum 'Li2 Cd4 Bi4'
_space_group_name_H-M_alt 'P 1'
_space_group_IT_number 1
_cell_length_a 8.435
_cell_length_b 8.435
_cell_length_c 3.892
_cell_angle_alpha 90.00
_cell_angle_beta 90.00
_cell_angle_gamma 90.00
loop_
_space_group_symop_operation_xyz
'x,y,z'
loop_
_atom_site_label
_atom_site_type_symbol
_atom_site_fract_x
_atom_site_fract_y
_atom_site_fract_z
_atom_site_occupancy
Li1 Li 0.000 0.000 0.000 1
Li2 Li 0.500 0.500 0.000 1
Cd1 Cd 0.124 0.376 0.000 1
Cd2 Cd 0.376 0.876 0.000 1
Cd3 Cd 0.624 0.124 0.000 1
Cd4 Cd 0.876 0.624 0.000 1
Bi1 Bi 0.179 0.679 0.500 1
Bi2 Bi 0.321 0.179 0.500 1
Bi3 Bi 0.679 0.821 0.500 1
Bi4 Bi 0.821 0.321 0.500 1
```

Summary:
N(E_F) = 2.115 states/eV/f.u.
theoretical density = 7.79 g/cm3
excess energy over the best structure of this formula in the dataset = 0.418 eV per formula unit
spin magnetization = 0.00 μB/cell
symmetry = P4/mbm

# 6
Material: Rb3Tl4In
Method: DFT, PBE-GGA
State: optimized geometry

The structure in CIF format:
```
data_Rb3Tl4In
_chemical_formula_sum 'Rb3 Tl4 In1'
_space_group_name_H-M_alt 'P 1'
_space_group_IT_number 1
_cell_length_a 7.007
_cell_length_b 7.007
_cell_length_c 7.239
_cell_angle_alpha 92.97
_cell_angle_beta 92.97
_cell_angle_gamma 73.13
loop_
_space_group_symop_operation_xyz
'x,y,z'
loop_
_atom_site_label
_atom_site_type_symbol
_atom_site_fract_x
_atom_site_fract_y
_atom_site_fract_z
_atom_site_occupancy
Rb1 Rb 0.000 0.000 0.000 1
Rb2 Rb 0.071 0.560 0.367 1
Rb3 Rb 0.440 0.929 0.633 1
Tl1 Tl 0.353 0.448 0.837 1
Tl2 Tl 0.490 0.138 0.164 1
Tl3 Tl 0.552 0.647 0.163 1
Tl4 Tl 0.862 0.510 0.836 1
In1 In 0.656 0.344 0.500 1
```

Summary:
N(E_F) = 3.951 states/eV/f.u.
theoretical density = 5.82 g/cm3
excess energy over the best structure of this formula in the dataset = 0.000 eV per formula unit
spin magnetization = 0.00 μB/cell
symmetry = C2

# 7
Material: RbThAsO6
Method: DFT, PBE-GGA
State: optimized geometry

The structure in CIF format:
```
data_RbThAsO6
_chemical_formula_sum 'Rb1 Th1 As1 O6'
_space_group_name_H-M_alt 'P 1'
_space_group_IT_number 1
_cell_length_a 5.632
_cell_length_b 5.632
_cell_length_c 6.262
_cell_angle_alpha 90.00
_cell_angle_beta 90.00
_cell_angle_gamma 120.00
loop_
_space_group_symop_operation_xyz
'x,y,z'
loop_
_atom_site_label
_atom_site_type_symbol
_atom_site_fract_x
_atom_site_fract_y
_atom_site_fract_z
_atom_site_occupancy
Rb1 Rb 0.000 0.000 0.000 1
Th1 Th 0.333 0.667 0.500 1
As1 As 0.667 0.333 0.500 1
O1 O 0.409 0.057 0.674 1
O2 O 0.409 0.352 0.326 1
O3 O 0.648 0.057 0.326 1
O4 O 0.648 0.591 0.674 1
O5 O 0.943 0.352 0.674 1
O6 O 0.943 0.591 0.326 1
```

Summary:
N(E_F) = 3.948 states/eV/f.u.
theoretical density = 4.72 g/cm3
spin magnetization = 2.04 μB/cell
symmetry = P312
formation energy (no corrections) = -1.74 eV/atom

# 8
Material: MnB3Rh
Method: DFT, PBE-GGA
State: optimized geometry

The structure in CIF format:
```
data_MnB3Rh
_chemical_formula_sum 'Mn1 B3 Rh1'
_space_group_name_H-M_alt 'P 1'
_space_group_IT_number 1
_cell_length_a 3.732
_cell_length_b 3.732
_cell_length_c 3.732
_cell_angle_alpha 90.00
_cell_angle_beta 90.00
_cell_angle_gamma 90.00
loop_
_space_group_symop_operation_xyz
'x,y,z'
loop_
_atom_site_label
_atom_site_type_symbol
_atom_site_fract_x
_atom_site_fract_y
_atom_site_fract_z
_atom_site_occupancy
Mn1 Mn 0.000 0.000 0.000 1
B1 B 0.000 0.000 0.500 1
B2 B 0.000 0.500 0.000 1
B3 B 0.500 0.000 0.000 1
Rh1 Rh 0.500 0.500 0.500 1
```

Summary:
N(E_F) = 3.899 states/eV/f.u.
theoretical density = 6.08 g/cm3
excess energy over the best structure of this formula in the dataset = 0.000 eV per formula unit
spin magnetization = 0.96 μB/cell
symmetry = Pm-3m

# 9
Material: RbSbTe2Rh
Method: DFT, PBE-GGA
State: optimized geometry

The structure in CIF format:
```
data_RbSbTe2Rh
_chemical_formula_sum 'Rb1 Sb1 Te2 Rh1'
_space_group_name_H-M_alt 'P 1'
_space_group_IT_number 1
_cell_length_a 5.631
_cell_length_b 5.631
_cell_length_c 4.997
_cell_angle_alpha 90.00
_cell_angle_beta 90.00
_cell_angle_gamma 90.00
loop_
_space_group_symop_operation_xyz
'x,y,z'
loop_
_atom_site_label
_atom_site_type_symbol
_atom_site_fract_x
_atom_site_fract_y
_atom_site_fract_z
_atom_site_occupancy
Rb1 Rb 0.000 0.000 0.000 1
Sb1 Sb 0.500 0.500 0.000 1
Te1 Te 0.000 0.500 0.500 1
Te2 Te 0.500 0.000 0.500 1
Rh1 Rh 0.500 0.500 0.500 1
```

Summary:
N(E_F) = 5.135 states/eV/f.u.
theoretical density = 5.93 g/cm3
excess energy over the best structure of this formula in the dataset = 0.000 eV per formula unit
spin magnetization = 0.00 μB/cell
symmetry = P4/mmm
formation energy (no corrections) = -0.15 eV/atom

# 10
Material: Be3Hg4
Method: DFT, PBE-GGA
State: optimized geometry

The structure in CIF format:
```
data_Be3Hg4
_chemical_formula_sum 'Be3 Hg4'
_space_group_name_H-M_alt 'P 1'
_space_group_IT_number 1
_cell_length_a 4.683
_cell_length_b 4.683
_cell_length_c 6.877
_cell_angle_alpha 90.00
_cell_angle_beta 90.00
_cell_angle_gamma 120.00
loop_
_space_group_symop_operation_xyz
'x,y,z'
loop_
_atom_site_label
_atom_site_type_symbol
_atom_site_fract_x
_atom_site_fract_y
_atom_site_fract_z
_atom_site_occupancy
Be1 Be 0.000 0.500 0.000 1
Be2 Be 0.500 0.000 0.000 1
Be3 Be 0.500 0.500 0.000 1
Hg1 Hg 0.000 0.000 0.220 1
Hg2 Hg 0.000 0.000 0.780 1
Hg3 Hg 0.333 0.667 0.500 1
Hg4 Hg 0.667 0.333 0.500 1
```

Summary:
N(E_F) = 1.074 states/eV/f.u.
theoretical density = 10.55 g/cm3
excess energy over the best structure of this formula in the dataset = 0.000 eV per formula unit
spin magnetization = 0.00 μB/cell
symmetry = P6/mmm

# 11
Material: TaVNi4
Method: DFT, PBE-GGA
State: optimized geometry

The structure in CIF format:
```
data_TaVNi4
_chemical_formula_sum 'Ta1 V1 Ni4'
_space_group_name_H-M_alt 'P 1'
_space_group_IT_number 1
_cell_length_a 4.730
_cell_length_b 4.730
_cell_length_c 4.730
_cell_angle_alpha 60.00
_cell_angle_beta 60.00
_cell_angle_gamma 60.00
loop_
_space_group_symop_operation_xyz
'x,y,z'
loop_
_atom_site_label
_atom_site_type_symbol
_atom_site_fract_x
_atom_site_fract_y
_atom_site_fract_z
_atom_site_occupancy
Ta1 Ta 0.000 0.000 0.000 1
V1 V 0.750 0.750 0.750 1
Ni1 Ni 0.375 0.375 0.375 1
Ni2 Ni 0.375 0.375 0.874 1
Ni3 Ni 0.375 0.874 0.375 1
Ni4 Ni 0.874 0.375 0.375 1
```

Summary:
N(E_F) = 4.854 states/eV/f.u.
theoretical density = 10.35 g/cm3
excess energy over the best structure of this formula in the dataset = 0.000 eV per formula unit
spin magnetization = 2.70 μB/cell
symmetry = F-43m

# 12
Material: Sm2DyHo2Sc2
Method: DFT, PBE-GGA
State: optimized geometry

The structure in CIF format:
```
data_Sm2DyHo2Sc2
_chemical_formula_sum 'Sm2 Dy1 Ho2 Sc2'
_space_group_name_H-M_alt 'P 1'
_space_group_IT_number 1
_cell_length_a 5.922
_cell_length_b 5.922
_cell_length_c 11.554
_cell_angle_alpha 108.00
_cell_angle_beta 108.00
_cell_angle_gamma 33.64
loop_
_space_group_symop_operation_xyz
'x,y,z'
loop_
_atom_site_label
_atom_site_type_symbol
_atom_site_fract_x
_atom_site_fract_y
_atom_site_fract_z
_atom_site_occupancy
Sm1 Sm 0.172 0.172 0.089 1
Sm2 Sm 0.828 0.828 0.911 1
Dy1 Dy 0.500 0.500 0.500 1
Ho1 Ho 0.046 0.046 0.767 1
Ho2 Ho 0.954 0.954 0.233 1
Sc1 Sc 0.272 0.272 0.631 1
Sc2 Sc 0.728 0.728 0.369 1
```

Summary:
N(E_F) = 12.276 states/eV/f.u.
theoretical density = 6.90 g/cm3
spin magnetization = 0.00 μB/cell
symmetry = C2/m
total DFT energy (no corrections) = -35.10 eV per formula unit